The following is a PBE calculation of a relaxed LiReAg2 crystal, from the Alexandria database.

Mass density in g/cm³: 10.6
Density of states at the Fermi level in states/eV per cell: 3.92
Symmetry: No. 216
ΔE_f in eV per formula unit: 3.225
DFT total energy in eV/atom: -4.210
M_tot in μB/f.u.: 2.20

Geometry as extended XYZ:
```
4
Lattice="-2.0117 -0.9708 3.8980 -3.6566 -2.6096 0.0519 0.2347 -4.1627 1.6734" Properties=species:S:1:pos:R:3 pbc="T T T"
Ag 0.0000 0.0000 0.0000
Re -4.0753 -5.8074 4.2175
Ag -1.3584 -1.9358 1.4058
Li -2.7168 -3.8716 2.8117
```


The following is a PBE calculation of a relaxed YSi3Ir3 crystal, from the Alexandria database.

Mass density in g/cm³: 9.4
Density of states at the Fermi level in states/eV per cell: 4.11
Symmetry: No. 148
DFT total energy in eV/atom: -7.678
M_tot in μB/f.u.: 0.00

Geometry as extended XYZ:
```
14
Lattice="-5.8475 -3.0323 1.8396 -0.3910 -6.8243 0.2208 -0.1689 -3.1936 6.9114" Properties=species:S:1:pos:R:3 pbc="T T T"
Si -4.0125 -8.9335 3.2635
Si -2.3949 -4.1167 5.7083
Si -0.9957 -8.0577 5.3370
Y -4.1535 -6.5708 1.3914
Ir -3.2019 -8.6987 5.5670
Si -1.4542 -5.7103 2.4307
Ir -0.9505 -5.6903 4.8315
Ir -4.5756 -5.1439 5.9361
Ir -1.8318 -7.9063 3.0356
Si -4.9532 -7.3399 6.5411
Y -2.2539 -6.4794 7.5804
Ir -3.2055 -4.3515 3.4048
Ir -5.4569 -7.3599 4.1403
Si -5.4117 -4.9925 3.6348
```


The following is a PBE calculation of a relaxed Hf3Mg5Bi12 crystal, from the Alexandria database.

Mass density in g/cm³: 7.7
Density of states at the Fermi level in states/eV per cell: 33.76
Symmetry: No. 230
ΔE_f in eV per formula unit: 1.897
DFT total energy in eV/atom: -4.125
M_tot in μB/f.u.: 0.00

Geometry as extended XYZ:
```
80
Lattice="-3.9075 3.8820 14.2064 10.9531 -10.5821 0.4570 5.1226 12.2957 -7.3982" Properties=species:S:1:pos:R:3 pbc="T T T"
Bi 10.3306 -7.5196 0.4261
Hf -0.7693 5.1479 10.6382
Bi 3.5325 -0.3537 12.2443
Hf 2.2171 4.3916 6.2189
Bi 7.1069 0.4978 1.7802
Mg 3.5228 -3.3500 7.3317
Mg 5.8361 0.9086 8.1661
Bi 1.6115 3.0462 11.4827
Hf 5.5072 7.6798 3.5017
Bi 0.7580 4.9761 3.6388
Bi 4.9292 11.3415 -4.4285
Bi 11.5867 -5.0145 -0.8516
Bi 8.3648 1.7994 9.3228
Mg 2.9208 12.3475 4.2385
Mg -1.9537 1.9410 7.1032
Mg 8.4225 -3.7591 7.4293
Bi 0.5816 10.6101 8.1168
Bi 4.1724 8.7287 -2.9840
Bi 1.7256 5.8875 9.1032
Bi 13.1528 3.4060 -2.7989
Hf 6.7321 8.5985 -4.5834
Bi 9.4425 4.0998 7.5814
Bi 11.4102 0.6196 3.6263
Bi 8.4163 7.5163 2.7033
Bi 7.9959 -3.1330 10.2492
Bi 1.1284 1.4235 7.1152
Hf 1.8171 0.4802 9.9014
Mg 7.2686 6.0048 7.1675
Bi 1.8377 13.1152 6.8391
Bi 3.5986 2.7741 8.3642
Mg 9.6474 -2.8404 -0.6558
Bi 7.9214 8.3899 5.6149
Hf 9.8550 1.3370 6.4308
Bi 12.7178 0.8771 -0.1225
Bi 10.4426 -0.2918 -1.8381
Bi 3.8035 3.7963 -2.0577
Bi 6.9178 -4.9920 2.9854
Bi 6.0495 -4.5048 5.9000
Bi 2.9273 7.1309 1.5417
Bi 7.6415 6.9306 -2.2343
Bi 11.0399 4.1722 0.1500
Hf 6.6611 -2.0841 3.7635
Mg 5.4766 -5.2910 0.2285
Bi 6.8542 0.3959 5.4779
Mg 1.9133 0.3472 4.5169
Bi 6.1188 10.1005 1.3652
Bi 9.2019 2.7554 3.8445
Bi 7.2391 -5.7458 11.6937
Bi 2.9663 2.8402 3.4207
Hf 5.4361 -3.0028 11.8486
Mg 0.0000 0.0000 0.0000
Bi 9.2409 -1.5352 5.7234
Bi 3.7519 -1.9207 4.5619
Mg 10.2550 5.2485 2.7483
Bi 3.0480 7.4154 5.2365
Bi 4.2469 -2.7943 1.6502
Mg 4.8996 -0.4091 0.0976
Mg 2.5209 8.4361 7.9209
Hf 9.9512 1.2040 1.0462
Bi 10.5567 2.5494 -4.2175
Hf 2.3132 4.2586 0.8344
Bi 5.3140 5.1997 1.7873
Mg 2.5613 6.1479 -3.6991
Bi -0.9846 2.1897 10.0640
Bi -0.5496 4.7186 7.3877
Bi 2.7258 1.4959 -0.3163
Bi 8.6358 5.9493 -4.9792
Mg 3.7458 9.3548 -0.1642
Bi 8.5697 2.8216 -1.0991
Hf 10.3511 5.1155 -2.6362
Mg 6.3322 4.6871 -0.9009
Mg 0.6076 8.0889 3.4041
Mg 8.0379 0.8568 -3.4706
Bi 5.0613 5.0978 5.4849
Bi 4.5267 -1.3350 9.4994
Mg 9.2474 -6.7518 3.0267
Bi 9.1202 -1.8197 2.0286
Mg 6.0841 2.7978 3.6326
Bi 5.2504 10.5877 4.2797
Hf 12.9375 0.4477 -3.3730
```


The following is a PBE calculation of a relaxed ErScV crystal, from the Alexandria database.

Mass density in g/cm³: 6.3
Density of states at the Fermi level in states/eV per cell: 6.35
Symmetry: No. 139
ΔE_f in eV per formula unit: 0.547
DFT total energy in eV/atom: -6.489
M_tot in μB/f.u.: 0.00

Geometry as extended XYZ:
```
6
Lattice="-0.5108 -0.4483 3.1450 2.9574 -1.2304 0.3050 3.5949 13.0454 0.7975" Properties=species:S:1:pos:R:3 pbc="T T T"
V 2.5987 6.5833 1.3605
Sc 1.5373 3.8944 0.8048
Sc 4.5042 7.4722 3.4427
Er 4.2093 10.6634 2.2037
V 3.4428 4.7833 2.8870
Er 1.8322 0.7033 2.0438
```


The following is a PBE calculation of a relaxed CdGa2Fe2 crystal, from the Alexandria database.

Mass density in g/cm³: 8.3
Density of states at the Fermi level in states/eV per cell: 12.28
Symmetry: No. 127
ΔE_f in eV per formula unit: 0.489
DFT total energy in eV/atom: -4.681
M_tot in μB/f.u.: 3.26

Geometry as extended XYZ:
```
10
Lattice="-0.2259 -6.1172 -3.8778 7.1356 -0.8529 0.9297 -0.4740 -1.4473 2.3107" Properties=species:S:1:pos:R:3 pbc="T T T"
Ga 2.5507 -1.1538 -0.1994
Cd 3.4549 -3.4850 -1.4741
Fe 5.6420 -5.4529 -0.6008
Ga 0.8417 -4.0216 -2.3462
Fe 2.0315 -6.1845 -1.7997
Fe 0.7937 -2.9644 -0.0367
Ga 4.3590 -5.8163 -2.7488
Ga 6.0680 -2.9485 -0.6019
Fe 4.4042 -2.2329 1.1622
Cd 0.0000 0.0000 0.0000
```


The following is a PBE calculation of a relaxed LuTiCdHg crystal, from the Alexandria database.

Mass density in g/cm³: 10.2
Density of states at the Fermi level in states/eV per cell: 3.60
Symmetry: No. 216
ΔE_f in eV per formula unit: -0.454
DFT total energy in eV/atom: -3.522
M_tot in μB/f.u.: 1.58

Geometry as extended XYZ:
```
4
Lattice="-2.6780 4.1152 -0.8005 -4.5609 0.4166 1.9421 -0.8351 3.1882 3.7263" Properties=species:S:1:pos:R:3 pbc="T T T"
Ti -2.0185 1.9300 1.2170
Hg 0.0000 0.0000 0.0000
Lu -6.0555 5.7900 3.6510
Cd -4.0370 3.8600 2.4340
```


The following is a PBE calculation of a relaxed Rb4IrO4 crystal, from the Alexandria database.

Mass density in g/cm³: 3.7
Density of states at the Fermi level in states/eV per cell: 5.25
Symmetry: No. 121
DFT total energy in eV/atom: -4.551
M_tot in μB/f.u.: 0.95

Geometry as extended XYZ:
```
9
Lattice="-5.5930 2.5869 -2.0531 0.8665 -2.7471 -5.8217 -0.7464 -5.0786 5.9088" Properties=species:S:1:pos:R:3 pbc="T T T"
O -0.7702 -3.9741 4.3047
Rb -1.7833 -2.9584 1.1306
Ir 0.0000 0.0000 0.0000
O -5.3111 0.6640 -2.1832
Rb -2.7965 1.2935 -1.0266
Rb 0.4332 -1.3736 -2.9108
Rb -3.6897 -2.2804 -3.0965
O -4.0888 -4.0865 -1.2243
O -0.7758 -3.0811 -4.8291
```


The following is a PBE calculation of a relaxed Ac3InO6 crystal, from the Alexandria database.

Mass density in g/cm³: 8.1
Density of states at the Fermi level in states/eV per cell: 0.00
Symmetry: No. 36
DFT total energy in eV/atom: -7.388
M_tot in μB/f.u.: 0.00

Geometry as extended XYZ:
```
20
Lattice="6.0257 0.0000 0.0000 0.0000 7.9131 -0.0039 0.0000 -1.7696 7.7127" Properties=species:S:1:pos:R:3 pbc="T T T"
O 4.2557 1.9807 2.7238
O 4.1288 6.3343 3.2358
O 4.1288 4.4028 0.8123
O 1.2429 4.1628 4.9850
In 0.0148 0.0519 6.2611
O 3.9460 7.5718 0.2682
O 4.2557 3.9304 5.1703
O 0.9887 5.8195 1.6647
O 0.9331 -1.4282 7.4407
O 1.1160 1.7407 6.8966
O 4.0016 0.3241 6.0442
Ac 2.6199 2.0643 4.6574
Ac 5.8637 0.1619 2.3360
O 1.1160 -0.1907 4.4731
Ac 5.6328 4.0793 3.0515
Ac 2.8508 5.9817 5.3729
O 1.2429 2.2132 2.5386
Ac 5.8637 3.9026 7.0298
Ac 2.8508 2.2410 0.6791
In 3.0276 6.0916 1.4478
```


The following is a PBE calculation of a relaxed CsNaS5 crystal, from the Alexandria database.

Mass density in g/cm³: 2.3
Density of states at the Fermi level in states/eV per cell: 2.50
Symmetry: No. 15
DFT total energy in eV/atom: -3.652
M_tot in μB/f.u.: 0.00

Geometry as extended XYZ:
```
14
Lattice="-3.9168 -5.5215 -1.5364 2.2955 -1.3615 6.4083 -6.1476 11.9914 -1.4719" Properties=species:S:1:pos:R:3 pbc="T T T"
S -6.9017 4.1192 0.9460
S -6.6542 2.2694 1.7210
S -2.9417 0.6078 -0.4281
S -1.1147 2.8390 1.6790
S -4.8272 4.5006 3.8281
Na 0.0000 0.0000 0.0000
S -2.0572 0.3518 5.0558
S -5.7117 4.7566 -1.6558
Cs -3.0696 -2.3765 2.8809
S -0.4368 -2.6638 5.3678
Na -3.8844 2.5542 1.7000
Cs -4.6993 7.4849 0.5191
S -7.3321 7.7722 -1.9678
S -0.8672 0.9892 2.4540
```


The following is a PBE calculation of a relaxed SbCBr2 crystal, from the Alexandria database.

Mass density in g/cm³: 4.3
Density of states at the Fermi level in states/eV per cell: 7.41
Symmetry: No. 141
DFT total energy in eV/atom: -2.729
M_tot in μB/f.u.: 0.00

Geometry as extended XYZ:
```
8
Lattice="6.8168 0.0000 0.0000 0.0000 6.8168 0.0000 3.4084 3.4084 4.8342" Properties=species:S:1:pos:R:3 pbc="T T T"
Br 8.5210 6.8138 3.6257
Br 3.4115 5.1126 1.2086
C 3.4084 3.4084 0.0000
Br 3.4054 1.7042 1.2086
C 3.4084 6.8168 2.4171
Sb 0.0000 0.0000 0.0000
Br 5.1126 6.8199 3.6257
Sb 6.8168 3.4084 2.4171
```


The following is a PBE calculation of a relaxed NdYC crystal, from the Alexandria database.

Mass density in g/cm³: 5.5
Density of states at the Fermi level in states/eV per cell: 5.07
Symmetry: No. 11
ΔE_f in eV per formula unit: -0.549
DFT total energy in eV/atom: -7.002
M_tot in μB/f.u.: 0.27

Geometry as extended XYZ:
```
6
Lattice="3.6516 -0.0052 0.0003 0.0117 6.2806 -2.4007 -0.0001 0.3117 6.3439" Properties=species:S:1:pos:R:3 pbc="T T T"
C 3.4345 5.8331 -2.0737
Nd 3.4245 1.1596 4.4445
Y 1.5989 0.9290 1.2759
Nd 1.6064 4.6600 3.2385
Y 3.4325 4.5788 0.0633
C 1.6085 5.9553 1.0121
```